A plane-wave DFT calculation with GGA+U was carried out for a relaxed SrNb2VO8 crystal.

```
12
Lattice="5.083 0.578 0.346 0.635 5.076 0.341 0.474 0.477 6.981" Properties=species:S:1:pos:R:3 pbc="T T T"
Sr 0.237 0.238 3.491
Nb 2.776 2.750 5.463
Nb 3.417 3.381 2.205
V 0.000 0.000 0.000
O 1.727 4.165 1.778
O 4.407 4.358 0.919
O 4.182 1.682 1.780
O 4.465 1.966 5.890
O 1.785 1.773 6.749
O 2.010 4.449 5.888
O 4.040 3.999 3.860
O 2.152 2.132 3.808
```

Volume, Å³ per cell: 176.1
Magnetization, μB/f.u.: 1.0
Raw total energy, eV/atom: -8.22